No. 1
## SbMoAs2 (SCAN)

Data for SbMoAs2 at its PBEsol-relaxed geometry.

## Properties
Formation energy from raw total energies = 343 meV per atom
Space group = P2/m

a b c (Å): 3.624 4.713 4.685
angles (deg): 90.00 100.68 90.00
Atoms (fractional coordinates):
Mo (0.500, 0.500, 0.000)
As (0.297, 0.000, 0.185)
Sb (0.000, 0.500, 0.500)
As (0.703, 0.000, 0.815)


No. 2
## SbMoAsSe2 (SCAN)

Data for SbMoAsSe2 at its PBEsol-relaxed geometry.

## Properties
Formation energy from raw total energies = 1162 meV per atom
Space group = P4/mmm

a b c (Å): 5.175 5.175 5.137
angles (deg): 90.00 90.00 90.00
Atoms (fractional coordinates):
Mo (0.500, 0.500, 0.500)
Se (0.000, 0.500, 0.000)
As (0.000, 0.000, 0.500)
Sb (0.000, 0.000, 0.000)
Se (0.500, 0.000, 0.000)


No. 3
## Sc2MoAs (SCAN)

Data for Sc2MoAs at its PBEsol-relaxed geometry.

## Properties
DFT formation energy = -509 meV/atom
Space group = P4/mmm

a b c (Å): 3.446 3.446 5.877
angles (deg): 90.00 90.00 90.00
Atoms (fractional coordinates):
As (0.500, 0.500, 0.000)
Mo (0.500, 0.500, 0.500)
Sc (0.000, 0.000, 0.753)
Sc (0.000, 0.000, 0.247)


The calculation returns the following total moment values, one per record and in order: 0.25 0.60 0.00 μB per atom.